(1)
# BC2, relaxed, DFT PBE
data_BC2
_chemical_formula_sum 'B4 C8'
_space_group_name_H-M_alt 'P 1'
_space_group_IT_number 1
_space_group_name_Hall 'P 1'
_cell_length_a 4.692
_cell_length_b 4.641
_cell_length_c 5.324
_cell_angle_alpha 112.08
_cell_angle_beta 109.83
_cell_angle_gamma 45.48
loop_
_atom_site_label
_atom_site_type_symbol
_atom_site_fract_x
_atom_site_fract_y
_atom_site_fract_z
_atom_site_occupancy
C1 C 0.897 0.425 0.074 1
C2 C 0.353 0.325 0.676 1
C3 C 0.261 0.734 0.761 1
C4 C 0.589 0.084 0.915 1
C5 C 0.572 0.080 0.425 1
C6 C 0.989 0.016 0.989 1
C7 C 0.678 0.670 0.325 1
C8 C 0.661 0.666 0.835 1
B1 B 0.323 0.338 0.181 1
B2 B 0.240 0.807 0.250 1
B3 B 0.010 0.943 0.500 1
B4 B 0.927 0.412 0.569 1
# energy above the most stable polymorph in this dataset: 0.110 eV per atom
# calculated formation energy: 0.350 eV per atom
# total energy: -8.025 eV per atom

(2)
# Cs2NaAg2I6, relaxed, DFT PBE
data_Cs2NaAg2I6
_chemical_formula_sum 'Cs2 Na1 Ag2 I6'
_space_group_name_H-M_alt 'P 1'
_space_group_IT_number 1
_space_group_name_Hall 'P 1'
_cell_length_a 7.888
_cell_length_b 8.816
_cell_length_c 9.688
_cell_angle_alpha 116.21
_cell_angle_beta 90.00
_cell_angle_gamma 116.57
loop_
_atom_site_label
_atom_site_type_symbol
_atom_site_fract_x
_atom_site_fract_y
_atom_site_fract_z
_atom_site_occupancy
Cs1 Cs 0.720 0.441 0.221 1
Cs2 Cs 0.280 0.559 0.779 1
I1 I 0.207 0.885 0.195 1
I2 I 0.793 0.115 0.805 1
I3 I 0.323 0.115 0.805 1
I4 I 0.739 0.477 0.638 1
I5 I 0.677 0.885 0.195 1
I6 I 0.261 0.523 0.362 1
Ag1 Ag 0.933 0.867 0.754 1
Ag2 Ag 0.067 0.133 0.246 1
Na1 Na 0.500 0.000 0.500 1
# total energy: -2.475 eV per atom
# E_form (uncorrected): -835.8 meV/atom

(3)
# AcPm2PrHo, relaxed, DFT PBE
data_AcPm2PrHo
_chemical_formula_sum 'Ac2 Pm4 Pr2 Ho2'
_space_group_name_H-M_alt 'P 1'
_space_group_IT_number 1
_space_group_name_Hall 'P 1'
_cell_length_a 7.404
_cell_length_b 8.342
_cell_length_c 7.426
_cell_angle_alpha 124.17
_cell_angle_beta 90.00
_cell_angle_gamma 90.00
loop_
_atom_site_label
_atom_site_type_symbol
_atom_site_fract_x
_atom_site_fract_y
_atom_site_fract_z
_atom_site_occupancy
Pr1 Pr 0.750 0.939 0.878 1
Pr2 Pr 0.250 0.061 0.122 1
Ho1 Ho 0.250 0.309 0.618 1
Ho2 Ho 0.750 0.691 0.382 1
Ac1 Ac 0.750 0.243 0.486 1
Ac2 Ac 0.250 0.757 0.514 1
Pm1 Pm 0.500 0.305 0.000 1
Pm2 Pm 0.000 0.305 0.000 1
Pm3 Pm 0.000 0.695 0.000 1
Pm4 Pm 0.500 0.695 0.000 1
# calculated formation energy: 0.340 eV per atom
# total energy: -4.253 eV per atom

(4)
# SrNiBr2, relaxed, DFT PBE
data_SrNiBr2
_chemical_formula_sum 'Sr1 Ni1 Br2'
_space_group_name_H-M_alt 'P 1'
_space_group_IT_number 1
_space_group_name_Hall 'P 1'
_cell_length_a 5.171
_cell_length_b 5.171
_cell_length_c 5.171
_cell_angle_alpha 60.00
_cell_angle_beta 60.00
_cell_angle_gamma 60.00
loop_
_atom_site_label
_atom_site_type_symbol
_atom_site_fract_x
_atom_site_fract_y
_atom_site_fract_z
_atom_site_occupancy
Br1 Br 0.250 0.250 0.250 1
Br2 Br 0.750 0.750 0.750 1
Ni1 Ni 0.000 0.000 0.000 1
Sr1 Sr 0.500 0.500 0.500 1
# energy above the most stable polymorph in this dataset: 0.387 eV per atom
# total energy: -3.311 eV per atom
# E_form (uncorrected): -609.2 meV/atom

(5)
# In5Hg2Cl5, relaxed, DFT PBE
data_In5Hg2Cl5
_chemical_formula_sum 'In5 Hg2 Cl5'
_space_group_name_H-M_alt 'P 1'
_space_group_IT_number 1
_space_group_name_Hall 'P 1'
_cell_length_a 7.963
_cell_length_b 8.683
_cell_length_c 8.683
_cell_angle_alpha 77.86
_cell_angle_beta 62.71
_cell_angle_gamma 62.71
loop_
_atom_site_label
_atom_site_type_symbol
_atom_site_fract_x
_atom_site_fract_y
_atom_site_fract_z
_atom_site_occupancy
Cl1 Cl 0.096 0.358 0.000 1
Cl2 Cl 0.096 0.000 0.358 1
Cl3 Cl 0.454 0.642 0.000 1
Cl4 Cl 0.454 0.000 0.642 1
Cl5 Cl 0.925 0.000 0.000 1
In1 In 0.040 0.261 0.739 1
In2 In 0.301 0.739 0.739 1
In3 In 0.456 0.000 0.000 1
In4 In 0.040 0.739 0.261 1
In5 In 0.779 0.261 0.261 1
Hg1 Hg 0.777 0.500 0.500 1
Hg2 Hg 0.277 0.500 0.500 1
# total energy: -2.594 eV per atom
# E_form (uncorrected): -632.8 meV/atom

(6)
# NdDyMnCd, relaxed, DFT PBE
data_NdDyMnCd
_chemical_formula_sum 'Nd1 Dy1 Mn1 Cd1'
_space_group_name_H-M_alt 'P 1'
_space_group_IT_number 1
_space_group_name_Hall 'P 1'
_cell_length_a 5.249
_cell_length_b 5.249
_cell_length_c 5.249
_cell_angle_alpha 60.00
_cell_angle_beta 60.00
_cell_angle_gamma 60.00
loop_
_atom_site_label
_atom_site_type_symbol
_atom_site_fract_x
_atom_site_fract_y
_atom_site_fract_z
_atom_site_occupancy
Mn1 Mn 0.250 0.250 0.250 1
Dy1 Dy 0.500 0.500 0.500 1
Nd1 Nd 0.000 0.000 0.000 1
Cd1 Cd 0.750 0.750 0.750 1
# calculated formation energy: 0.004 eV per atom
# total energy: -4.859 eV per atom